No. 1
The following is a DFT calculation (PBE-GGA) of a geometry-optimized Cu2Ni6HN structure.

Output
mass density = 8.40 g/cm3
DOS(E_F) = 3.37 states/eV/f.u.
uncorrected energy = -54.9 eV per cell

a b c (Å): 5.1722 5.1703 5.1660
angles (deg): 60.05 60.02 59.93
Fractional coordinates of all 10 atoms:
Cu 0.2500 0.2500 0.2500
Cu 0.7500 0.7500 0.7500
Ni 0.2462 0.2462 0.7538
Ni 0.2464 0.7536 0.7536
Ni 0.2465 0.7535 0.2465
Ni 0.7535 0.2465 0.7535
Ni 0.7536 0.2464 0.2464
Ni 0.7538 0.7538 0.2462
H 0.0000 0.0000 0.0000
N 0.5000 0.5000 0.5000



No. 2
The following is a DFT calculation (PBE-GGA) of a geometry-optimized AgPdI3 structure.

Output
mass density = 6.04 g/cm3
DOS(E_F) = 2.02 states/eV/f.u.
raw formation energy = -0.137 eV per atom

a b c (Å): 10.5418 10.5418 7.2157
angles (deg): 90.00 90.00 155.92
Fractional coordinates of all 10 atoms:
Ag 0.1142 0.8858 0.5000
Ag 0.8858 0.1142 0.0000
Pd 0.3266 0.6734 0.5436
Pd 0.6734 0.3266 0.0436
I 0.1131 0.8869 0.8779
I 0.2372 0.7628 0.2525
I 0.4311 0.5689 0.7979
I 0.5689 0.4311 0.2979
I 0.7628 0.2372 0.7525
I 0.8869 0.1131 0.3779



No. 3
The following is a DFT calculation (PBE-GGA) of a geometry-optimized ZrTa2Ru structure.

Output
ΔE_f = -0.10 eV per atom
mass density = 12.84 g/cm3
DOS(E_F) = 4.36 states/eV/f.u.

a b c (Å): 2.9846 4.5187 5.4350
angles (deg): 90.00 102.06 90.00
Fractional coordinates of all 4 atoms:
Zr 0.0000 0.0000 0.0000
Ta 0.2713 0.5000 0.7341
Ta 0.5369 0.0000 0.4879
Ru 0.7635 0.5000 0.2481



No. 4
The following is a DFT calculation (PBE-GGA) of a geometry-optimized Mg4AlIn5 structure.

Output
ΔE_f = -0.02 eV per atom
mass density = 4.97 g/cm3
DOS(E_F) = 2.40 states/eV/f.u.

a b c (Å): 3.4179 3.4179 19.9877
angles (deg): 90.00 90.00 90.00
Fractional coordinates of all 10 atoms:
Mg 0.0000 0.0000 0.1006
Mg 0.0000 0.0000 0.3011
Mg 0.0000 0.0000 0.6989
Mg 0.0000 0.0000 0.8994
Al 0.0000 0.0000 0.5000
In 0.5000 0.5000 0.0000
In 0.5000 0.5000 0.2007
In 0.5000 0.5000 0.4050
In 0.5000 0.5000 0.5950
In 0.5000 0.5000 0.7993



No. 5
The following is a DFT calculation (PBE-GGA) of a geometry-optimized LaNdDy2Y5 structure.

Output
ΔE_f = 0.26 eV per atom
mass density = 5.82 g/cm3
DOS(E_F) = 11.52 states/eV/f.u.

a b c (Å): 9.9365 9.9365 9.9365
angles (deg): 127.41 127.41 77.59
Fractional coordinates of all 18 atoms:
La 0.2500 0.2500 0.0000
La 0.7500 0.7500 0.0000
Nd 0.2500 0.7500 0.5000
Nd 0.7500 0.2500 0.5000
Dy 0.1166 0.6166 0.7332
Dy 0.3834 0.1166 0.5000
Dy 0.6166 0.8834 0.5000
Dy 0.8834 0.3834 0.2668
Y 0.0000 0.0000 0.0000
Y 0.0702 0.1653 0.5000
Y 0.1653 0.6653 0.0951
Y 0.3347 0.4298 0.5000
Y 0.4298 0.9298 0.0951
Y 0.5000 0.5000 0.0000
Y 0.5702 0.0702 0.9049
Y 0.6653 0.5702 0.5000
Y 0.8347 0.3347 0.9049
Y 0.9298 0.8347 0.5000



No. 6
The following is a DFT calculation (PBE-GGA) of a geometry-optimized BaHfOs2 structure.

Output
ΔE_f = 0.74 eV per atom
mass density = 10.03 g/cm3
DOS(E_F) = 2.87 states/eV/f.u.

a b c (Å): 9.6665 9.6665 9.6665
angles (deg): 149.61 149.61 43.52
Fractional coordinates of all 8 atoms:
Ba 0.3750 0.6250 0.7500
Ba 0.6250 0.3750 0.2500
Hf 0.1250 0.8750 0.2500
Hf 0.8750 0.1250 0.7500
Os 0.0000 0.0000 0.0000
Os 0.0000 0.0000 0.5000
Os 0.0000 0.5000 0.0000
Os 0.5000 0.0000 0.5000